Below is a relaxed structure of BaSiGe2Se8, with properties calculated at the PBE level.

The structure belongs to space group P-3 (No. 147); the cell edges are 6.2221, 6.2221 and 9.3180 Å and the angles 90.00°, 90.00° and 120.00°. Symmetry generates all atoms from Ba at (0.0000, 0.0000, 0.0000), Si at (0.0000, 0.0000, 0.5000), Ge at (0.3333, 0.6667, 0.7313), Se at (0.0422, 0.7183, 0.3305) and Se at (0.3333, 0.6667, 0.9843).

The mass density comes out at 5.009 g/cm3. The value obtained for the calculated total energy is -4.14 eV/atom. The formation energy (no corrections) is -433 meV per atom.

***

Below is a relaxed structure of ZrFeHAu2, with properties calculated at the PBE level.

The structure belongs to space group P4/mmm (No. 123); the cell edges are 4.849, 4.849 and 4.535 Å and the angles 90.00°, 90.00° and 90.00°. Symmetry generates all atoms from Zr at (0.000, 0.000, 0.000), Fe at (0.000, 0.000, 0.500), H at (0.500, 0.500, 0.000) and Au at (0.000, 0.500, 0.500).

The mass density comes out at 8.441 g/cm3. The value obtained for the calculated total energy is -4.50 eV/atom.

***

Below is a relaxed structure of Al2WCl, with properties calculated at the PBE level.

The structure belongs to space group I-42d (No. 122); the cell edges are 7.071, 7.071 and 5.661 Å and the angles 90.00°, 90.00° and 90.00°. Symmetry generates all atoms from Al at (0.242, 0.250, 0.125), W at (0.000, 0.000, 0.500) and Cl at (0.000, 0.000, 0.000).

The mass density comes out at 6.412 g/cm3. The value obtained for the calculated total energy is -4.81 eV/atom. The formation energy (no corrections) is 760 meV per atom.

***

Below is a relaxed structure of TaP2RuCl, with properties calculated at the PBE level.

The structure belongs to space group P4/mmm (No. 123); the cell edges are 4.533, 4.533 and 4.628 Å and the angles 90.00°, 90.00° and 90.00°. Symmetry generates all atoms from Ta at (0.000, 0.000, 0.000), P at (0.000, 0.500, 0.500), Ru at (0.500, 0.500, 0.500) and Cl at (0.500, 0.500, 0.000).

The mass density comes out at 6.627 g/cm3. The value obtained for the calculated total energy is -5.78 eV/atom. The formation energy (no corrections) is 984 meV per atom.

***

Below is a relaxed structure of Th7Sb2Ir2, with properties calculated at the PBE level.

The structure belongs to space group Cmmm (No. 65); the cell edges are 8.924, 10.979 and 6.966 Å and the angles 90.00°, 90.00° and 90.00°. Symmetry generates all atoms from Th at (0.000, 0.000, 0.000), Th at (0.000, 0.500, 0.245), Th at (0.250, 0.250, 0.260), Sb at (0.183, 0.000, 0.500) and Ir at (0.000, 0.261, 0.000).

The mass density comes out at 10.961 g/cm3. The value obtained for the calculated total energy is -7.52 eV/atom. The formation energy (no corrections) is -435 meV per atom.

***

Below is a relaxed structure of MoPAu, with properties calculated at the PBE level.

The structure belongs to space group I4mm (No. 107); the cell edges are 3.106, 3.106 and 9.904 Å and the angles 90.00°, 90.00° and 90.00°. Symmetry generates all atoms from Mo at (0.000, 0.000, 0.000), P at (0.000, 0.000, 0.388) and Au at (0.000, 0.000, 0.698).

The mass density comes out at 11.261 g/cm3. The calculation puts the formation energy from the elements at 0.662 kcal/mol of atoms. The value obtained for the calculated total energy is -6.48 eV/atom.

***

Below is a relaxed structure of KMg2Mn, with properties calculated at the PBE level.

The structure belongs to space group I4_1/amd (No. 141, origin choice 2); the cell edges are 5.736, 5.736 and 19.379 Å and the angles 90.00°, 90.00° and 90.00°. Symmetry generates all atoms from K at (0.000, 0.250, 0.375), Mg at (0.000, 0.000, 0.000) and Mn at (0.000, 0.250, 0.875).

The mass density comes out at 1.486 g/cm3. The calculation puts the formation energy from the elements at 16.675 kcal/mol of atoms. The value obtained for the calculated total energy is -2.64 eV/atom.

***

Below is a relaxed structure of Na2TlFe2, with properties calculated at the PBE level.

The structure belongs to space group P4/mbm (No. 127); the cell edges are 8.686, 8.686 and 2.872 Å and the angles 90.00°, 90.00° and 90.00°. Symmetry generates all atoms from Na at (0.119, 0.381, 0.000), Tl at (0.000, 0.000, 0.000) and Fe at (0.180, 0.680, 0.500).

The mass density comes out at 5.549 g/cm3. The calculation puts the formation energy from the elements at 22.007 kcal/mol of atoms. The value obtained for the calculated total energy is -3.43 eV/atom.

***

Below is a relaxed structure of CuReS2, with properties calculated at the PBE level.

The structure belongs to space group R-3m (No. 166, hexagonal axes); the cell edges are 3.0844, 3.0844 and 22.7307 Å and the angles 90.00°, 90.00° and 120.00°. Symmetry generates all atoms from Cu at (0.0000, 0.0000, 0.0000), Re at (0.0000, 0.0000, 0.5000) and S at (0.0000, 0.0000, 0.4013).

The mass density comes out at 8.350 g/cm3. The value obtained for the calculated total energy is -5.83 eV/atom. The formation energy (no corrections) is 368 meV per atom.

***

Below is a relaxed structure of Zr2ReAu, with properties calculated at the PBE level.

The structure belongs to space group Fm-3m (No. 225); the cell edges are 6.735, 6.735 and 6.735 Å and the angles 90.00°, 90.00° and 90.00°. Symmetry generates all atoms from Zr at (0.250, 0.250, 0.250), Re at (0.000, 0.000, 0.000) and Au at (0.000, 0.000, 0.500).

The mass density comes out at 12.297 g/cm3. The calculation puts the formation energy from the elements at -7.415 kcal/mol of atoms. The value obtained for the calculated total energy is -8.53 eV/atom.